Entry 1:
# Sc3TcSn

Sc3TcSn after structural relaxation (PBE, Alexandria via LeMat-Bulk).

volume	24.8	A^3/atom
crystal system	cubic
energy of formation	-0.03	eV/atom
size of the total moment	0.00	μB/f.u.

a = 4.9853 Å, b = 4.9853 Å, c = 4.9853 Å
α = 90.00°, β = 90.00°, γ = 90.00°
Closest atoms and distances in Å follow each position.
Positions (direct):
Sc (0.0000, 0.5000, 0.0000)  2 Tc 2.49
Sc (0.0000, 0.0000, 0.5000)  2 Tc 2.49
Sc (0.5000, 0.0000, 0.0000)  2 Tc 2.49
Sn (0.5000, 0.5000, 0.5000)  12 Sc 3.53
Tc (0.0000, 0.0000, 0.0000)  6 Sc 2.49



Entry 2:
# YHoPb

YHoPb after structural relaxation (PBE, Alexandria via LeMat-Bulk).

volume	33.4	A^3/atom
crystal system	tetragonal
energy of formation	0.26	eV/atom
size of the total moment	1.26	μB/f.u.

a = 3.3514 Å, b = 3.3514 Å, c = 9.2321 Å
α = 100.46°, β = 100.46°, γ = 90.00°
Closest atoms and distances in Å follow each position.
Positions (direct):
Pb (0.7693, 0.7693, 0.5386)  1 Y 3.12, 4 Ho 3.35, 4 Pb 3.35
Y (0.9441, 0.9441, 0.8881)  1 Pb 3.12, 4 Y 3.35, 1 Ho 3.44
Ho (0.1367, 0.1367, 0.2733)  4 Pb 3.35, 4 Ho 3.35, 1 Y 3.44



> Which value of energy of formation does entry 1 give?

-0.03 eV/atom



> The lowest volume belongs to which entry?

Sc3TcSn



> Number 2 is which compound?

YHoPb